Compound: LiInCl2
Source: the Alexandria database
Functional: PBE
Structure: optimized geometry

Cell and atoms, written as CIF:
```
data_LiInCl2
_chemical_formula_sum 'Li4 In4 Cl8'
_cell_length_a 7.177
_cell_length_b 9.603
_cell_length_c 6.413
_cell_angle_alpha 90.00
_cell_angle_beta 90.00
_cell_angle_gamma 90.00
_symmetry_space_group_name_H-M 'P 1'
_symmetry_Int_Tables_number 1
_symmetry_space_group_name_Hall 'P 1'
loop_
_atom_site_label
_atom_site_type_symbol
_atom_site_fract_x
_atom_site_fract_y
_atom_site_fract_z
Li1 Li 0.001 0.116 0.000
Li2 Li 0.499 0.616 0.500
Li3 Li 0.501 0.384 0.000
Li4 Li 0.999 0.884 0.500
In1 In 0.012 0.615 0.050
In2 In 0.488 0.115 0.550
In3 In 0.512 0.885 0.050
In4 In 0.988 0.385 0.550
Cl1 Cl 0.007 0.115 0.367
Cl2 Cl 0.249 0.252 0.854
Cl3 Cl 0.251 0.752 0.354
Cl4 Cl 0.493 0.615 0.867
Cl5 Cl 0.507 0.385 0.367
Cl6 Cl 0.749 0.248 0.854
Cl7 Cl 0.751 0.748 0.354
Cl8 Cl 0.993 0.885 0.867
```

- Space group: Pna2_1 (33)
- Uncorrected formation energy: -5.2 eV/f.u.


Compound: LiSn2Pb2
Source: the Alexandria database
Functional: PBE
Structure: optimized geometry

Cell and atoms, written as CIF:
```
data_LiSn2Pb2
_chemical_formula_sum 'Li2 Sn4 Pb4'
_cell_length_a 8.241
_cell_length_b 8.241
_cell_length_c 4.366
_cell_angle_alpha 90.00
_cell_angle_beta 90.00
_cell_angle_gamma 90.00
_symmetry_space_group_name_H-M 'P 1'
_symmetry_Int_Tables_number 1
_symmetry_space_group_name_Hall 'P 1'
loop_
_atom_site_label
_atom_site_type_symbol
_atom_site_fract_x
_atom_site_fract_y
_atom_site_fract_z
Li1 Li 0.000 0.000 0.000
Li2 Li 0.500 0.500 0.000
Sn1 Sn 0.138 0.362 0.500
Sn2 Sn 0.362 0.862 0.500
Sn3 Sn 0.638 0.138 0.500
Sn4 Sn 0.862 0.638 0.500
Pb1 Pb 0.155 0.655 0.000
Pb2 Pb 0.345 0.155 0.000
Pb3 Pb 0.655 0.845 0.000
Pb4 Pb 0.845 0.345 0.000
```

- Space group: P4/mbm (127)
- Calculated formation energy: 0.5 kcal/mol of atoms


Distance to the lowest polymorph of the same formula / meV per atom: 0, 112